DFT (GGA-PBE) results for an optimized crystal structure of CaLaNdTh.

POSCAR file:
```
CaLaNdTh
1.0
8.303 0.000 0.000
0.000 8.303 0.000
0.000 0.000 8.303
Ca La Nd Th
4 4 4 4
direct
0.000 0.000 0.000 Ca
0.000 0.500 0.500 Ca
0.500 0.000 0.500 Ca
0.500 0.500 0.000 Ca
0.250 0.250 0.750 La
0.250 0.750 0.250 La
0.750 0.250 0.250 La
0.750 0.750 0.750 La
0.250 0.250 0.250 Nd
0.250 0.750 0.750 Nd
0.750 0.250 0.750 Nd
0.750 0.750 0.250 Nd
0.000 0.000 0.500 Th
0.000 0.500 0.000 Th
0.500 0.000 0.000 Th
0.500 0.500 0.500 Th
```

Values from the calculation:
ρ = 6.44 g/cm³
DFT formation energy = 0.21 eV per atom
electronic total energy = -73.1 eV per cell
density of states at the Fermi level = 2.25 states/eV/atom

***

DFT (GGA-PBE) results for an optimized crystal structure of DyTm3In2.

POSCAR file:
```
DyTm3In2
1.0
4.832 0.000 0.000
0.000 15.083 0.000
0.000 0.000 4.497
Dy Tm In
2 6 4
direct
0.000 0.000 0.000 Dy
0.500 0.500 0.000 Dy
0.000 0.172 0.500 Tm
0.000 0.500 0.500 Tm
0.000 0.828 0.500 Tm
0.500 0.000 0.500 Tm
0.500 0.328 0.500 Tm
0.500 0.672 0.500 Tm
0.000 0.343 0.000 In
0.000 0.657 0.000 In
0.500 0.157 0.000 In
0.500 0.843 0.000 In
```

Values from the calculation:
ρ = 9.11 g/cm³
DFT formation energy = -0.28 eV per atom
electronic total energy = -50.3 eV per cell
density of states at the Fermi level = 0.95 states/eV/atom

***

DFT (GGA-PBE) results for an optimized crystal structure of Tl2HgPb4.

POSCAR file:
```
Tl2HgPb4
1.0
2.672 1.542 9.101
-2.672 1.542 9.101
0.000 -3.085 9.101
Tl Hg Pb
2 1 4
direct
0.249 0.249 0.249 Tl
0.751 0.751 0.751 Tl
0.000 0.000 0.000 Hg
0.130 0.130 0.130 Pb
0.378 0.378 0.378 Pb
0.622 0.622 0.622 Pb
0.870 0.870 0.870 Pb
```

Values from the calculation:
ρ = 10.61 g/cm³
DFT formation energy = 0.11 eV per atom
electronic total energy = -19.1 eV per cell
density of states at the Fermi level = 0.48 states/eV/atom

***

DFT (GGA-PBE) results for an optimized crystal structure of Cs2Br6ClF.

POSCAR file:
```
Cs2Br6ClF
1.0
-3.796 3.796 5.486
3.796 -3.796 5.486
3.796 3.796 -5.486
Cs Br Cl F
2 6 1 1
direct
0.250 0.750 0.500 Cs
0.750 0.250 0.500 Cs
0.235 0.235 0.000 Br
0.248 0.248 0.496 Br
0.248 0.752 0.000 Br
0.752 0.248 0.000 Br
0.752 0.752 0.504 Br
0.765 0.765 0.000 Br
0.000 0.000 0.000 Cl
0.500 0.500 0.000 F
```

Values from the calculation:
raw formation energy = -0.6079 eV/atom
ρ = 4.20 g/cm³
electronic total energy = -21.5 eV per cell
density of states at the Fermi level = 0.00 states/eV/atom

***

DFT (GGA-PBE) results for an optimized crystal structure of MgReNi2.

POSCAR file:
```
MgReNi2
1.0
2.772 0.000 0.000
0.000 4.552 0.000
0.000 0.000 8.608
Mg Re Ni
2 2 4
direct
0.000 0.000 0.000 Mg
0.500 0.500 0.500 Mg
0.000 0.000 0.500 Re
0.500 0.500 0.000 Re
0.000 0.500 0.244 Ni
0.000 0.500 0.756 Ni
0.500 0.000 0.256 Ni
0.500 0.000 0.744 Ni
```

Values from the calculation:
ρ = 10.03 g/cm³
DFT formation energy = 0.33 eV per atom
electronic total energy = -48.6 eV per cell
density of states at the Fermi level = 1.15 states/eV/atom

***

DFT (GGA-PBE) results for an optimized crystal structure of LaRhAu.

POSCAR file:
```
LaRhAu
1.0
3.575 0.000 0.000
0.000 3.843 0.000
0.000 0.000 9.521
La Rh Au
2 2 2
direct
0.000 0.000 0.000 La
0.500 0.500 0.500 La
0.000 0.000 0.339 Rh
0.500 0.500 0.839 Rh
0.000 0.000 0.683 Au
0.500 0.500 0.183 Au
```

Values from the calculation:
ρ = 11.14 g/cm³
DFT formation energy = -0.50 eV per atom
electronic total energy = -34.1 eV per cell
density of states at the Fermi level = 0.73 states/eV/atom

***

DFT (GGA-PBE) results for an optimized crystal structure of RbC3Br.

POSCAR file:
```
RbC3Br
1.0
4.460 0.000 0.000
0.000 4.460 0.000
0.000 0.000 4.460
Rb C Br
1 3 1
direct
0.000 0.000 0.000 Rb
0.000 0.500 0.500 C
0.500 0.000 0.500 C
0.500 0.500 0.000 C
0.500 0.500 0.500 Br
```

Values from the calculation:
raw formation energy = 3.3123 eV/atom
ρ = 3.77 g/cm³
electronic total energy = -13.8 eV per cell
density of states at the Fermi level = 0.69 states/eV/atom

***

DFT (GGA-PBE) results for an optimized crystal structure of MnTcNiAs.

POSCAR file:
```
MnTcNiAs
1.0
5.982 0.000 0.000
0.000 5.982 0.000
0.000 0.000 5.982
Mn Tc Ni As
4 4 4 4
direct
0.000 0.000 0.000 Mn
0.000 0.500 0.500 Mn
0.500 0.000 0.500 Mn
0.500 0.500 0.000 Mn
0.250 0.250 0.750 Tc
0.250 0.750 0.250 Tc
0.750 0.250 0.250 Tc
0.750 0.750 0.750 Tc
0.250 0.250 0.250 Ni
0.250 0.750 0.750 Ni
0.750 0.250 0.750 Ni
0.750 0.750 0.250 Ni
0.000 0.000 0.500 As
0.000 0.500 0.000 As
0.500 0.000 0.000 As
0.500 0.500 0.500 As
```

Values from the calculation:
ρ = 8.89 g/cm³
DFT formation energy = 0.00 eV per atom
electronic total energy = -119.8 eV per cell
density of states at the Fermi level = 0.91 states/eV/atom